Entry from Alexandria via LeMat-Bulk: an optimized crystal structure of Rb2HgPdCl6 (PBE).

Summary:
* crystal system: orthorhombic
* VASP energy: -59.5 eV/cell
* formation energy without anion corrections: -1122 meV/atom

Structure (POSCAR):
```
Rb2HgPdCl6
1.0
7.536 0.000 0.000
0.000 7.522 0.000
0.000 0.000 10.727
Rb Hg Pd Cl
4 2 2 12
direct
0.500 0.751 0.250 Rb
0.000 0.249 0.750 Rb
0.500 0.751 0.750 Rb
0.000 0.249 0.250 Rb
0.000 0.751 0.500 Hg
0.500 0.249 0.000 Hg
0.500 0.251 0.500 Pd
0.000 0.749 0.000 Pd
0.500 0.249 0.222 Cl
0.500 0.249 0.778 Cl
0.000 0.751 0.278 Cl
0.000 0.751 0.722 Cl
0.280 0.031 0.500 Cl
0.720 0.031 0.500 Cl
0.280 0.472 0.500 Cl
0.720 0.472 0.500 Cl
0.780 0.528 0.000 Cl
0.220 0.528 0.000 Cl
0.220 0.969 0.000 Cl
0.780 0.969 0.000 Cl
```

=====

Entry from Alexandria via LeMat-Bulk: an optimized crystal structure of Rb3HgPd2Cl9 (PBE).

Summary:
* crystal system: trigonal
* VASP energy: -46.5 eV/cell
* formation energy without anion corrections: -1088 meV/atom

Structure (POSCAR):
```
Rb3HgPd2Cl9
1.0
7.238 0.000 0.000
-3.619 6.268 0.000
0.000 0.000 8.876
Rb Hg Pd Cl
3 1 2 9
direct
0.333 0.667 0.666 Rb
0.000 0.000 0.000 Rb
0.667 0.333 0.334 Rb
0.000 0.000 0.500 Hg
0.333 0.667 0.155 Pd
0.667 0.333 0.845 Pd
0.827 0.173 0.681 Cl
0.827 0.655 0.681 Cl
0.345 0.173 0.681 Cl
0.655 0.827 0.319 Cl
0.173 0.345 0.319 Cl
0.173 0.827 0.319 Cl
0.500 0.000 0.000 Cl
0.000 0.500 0.000 Cl
0.500 0.500 0.000 Cl
```

=====

Entry from Alexandria via LeMat-Bulk: an optimized crystal structure of Rb2Hg2PdCl8 (PBE).

Summary:
* crystal system: monoclinic
* VASP energy: -35.9 eV/cell
* formation energy without anion corrections: -1028 meV/atom

Structure (POSCAR):
```
Rb2Hg2PdCl8
1.0
-0.052 -5.973 -3.323
5.555 -1.674 -3.614
5.299 -6.517 5.850
Rb Hg Pd Cl
2 2 1 8
direct
0.606 0.606 0.163 Rb
0.394 0.394 0.837 Rb
0.132 0.132 0.608 Hg
0.868 0.868 0.392 Hg
0.000 0.000 0.000 Pd
0.920 0.920 0.689 Cl
0.896 0.361 0.869 Cl
0.343 0.343 0.509 Cl
0.639 0.104 0.131 Cl
0.657 0.657 0.491 Cl
0.361 0.896 0.869 Cl
0.104 0.639 0.131 Cl
0.080 0.080 0.311 Cl
```

=====

Entry from Alexandria via LeMat-Bulk: an optimized crystal structure of Rb3Hg2PdCl9 (PBE).

Summary:
* crystal system: trigonal
* VASP energy: -41.7 eV/cell
* formation energy without anion corrections: -1095 meV/atom

Structure (POSCAR):
```
Rb3Hg2PdCl9
1.0
7.393 0.000 0.000
-3.696 6.402 0.000
0.000 0.000 9.121
Rb Hg Pd Cl
3 2 1 9
direct
0.333 0.667 0.669 Rb
0.000 0.000 0.000 Rb
0.667 0.333 0.331 Rb
0.333 0.667 0.178 Hg
0.667 0.333 0.822 Hg
0.000 0.000 0.500 Pd
0.840 0.160 0.654 Cl
0.840 0.681 0.654 Cl
0.319 0.160 0.654 Cl
0.681 0.840 0.346 Cl
0.160 0.319 0.346 Cl
0.160 0.840 0.346 Cl
0.500 0.000 0.000 Cl
0.000 0.500 0.000 Cl
0.500 0.500 0.000 Cl
```

=====

Number 4 is which compound?
Rb3Hg2PdCl9

=====

The lowest VASP energy belongs to which entry?
Rb2HgPdCl6